(1)
{"formula": "AcIn6Hg12", "functional": "GGA-PBE", "state": "relaxed", "de_polymorph_mev_per_atom": 0, "lattice": [[-2.0858, 7.9419, 1.9196], [-7.3592, -4.4504, -1.9318], [-5.4208, -0.1189, 6.9496]], "species": ["In", "Hg", "Hg", "Hg", "In", "Hg", "In", "Hg", "In", "Hg", "Hg", "Hg", "In", "Hg", "Hg", "In", "Ac", "Hg", "Hg"], "fractional_positions": [[0.9479, 0.3022, 0.4919], [0.7373, 0.5565, 0.3685], [0.6792, 0.8890, 0.8384], [0.5177, 0.8384, 0.2725], [0.6457, 0.2059, 0.3022], [0.2098, 0.7275, 0.1110], [0.5602, 0.5081, 0.7941], [0.2627, 0.4435, 0.6315], [0.3543, 0.7941, 0.6978], [0.7902, 0.2725, 0.8890], [0.8192, 0.9250, 0.4435], [0.1057, 0.3685, 0.0750], [0.0521, 0.6978, 0.5081], [0.3208, 0.1110, 0.1616], [0.1808, 0.0750, 0.5565], [0.4398, 0.4919, 0.2059], [0.0000, 0.0000, 0.0000], [0.4823, 0.1616, 0.7275], [0.8943, 0.6315, 0.9250]]}

(2)
{"formula": "AcIn2Hg", "functional": "GGA-PBE", "state": "relaxed", "de_polymorph_mev_per_atom": 39, "lattice": [[-0.1708, -4.7414, -1.5562], [1.0091, -1.5187, 4.5162], [-4.7618, -0.1601, 1.0101]], "species": ["Hg", "In", "Ac", "In"], "fractional_positions": [[0.5000, 0.0000, 0.0000], [0.0000, 0.0000, 0.5000], [0.5000, 0.5000, 0.5000], [0.0000, 0.5000, 0.0000]]}

(3)
{"formula": "Ac2In2Hg3", "functional": "GGA-PBE", "state": "relaxed", "de_polymorph_mev_per_atom": 23, "lattice": [[-3.1246, -0.3553, -3.5218], [5.5407, -3.8916, -4.5231], [-1.8577, -9.3333, 5.7547]], "species": ["Hg", "Hg", "Ac", "In", "Hg", "Hg", "In", "Ac", "Ac", "Hg", "In", "In", "Ac", "Hg"], "fractional_positions": [[0.5597, 0.0714, 0.1193], [0.7764, 0.2500, 0.5528], [0.0510, 0.7500, 0.1019], [0.3156, 0.0575, 0.6313], [0.2236, 0.7500, 0.4472], [0.4403, 0.9286, 0.8807], [0.6844, 0.9425, 0.3687], [0.9490, 0.2500, 0.8981], [0.1570, 0.2500, 0.3140], [0.5597, 0.4286, 0.1193], [0.3156, 0.4425, 0.6313], [0.6844, 0.5575, 0.3687], [0.8430, 0.7500, 0.6860], [0.4403, 0.5714, 0.8807]]}

(4)
{"formula": "AcIn2Hg6", "functional": "GGA-PBE", "state": "relaxed", "de_polymorph_mev_per_atom": 0, "lattice": [[-3.9178, 2.0579, -2.7568], [-4.5043, 2.6010, 3.6176], [1.6816, 8.4575, 1.5609]], "species": ["Hg", "Hg", "In", "Hg", "In", "Hg", "Ac", "Hg", "Hg"], "fractional_positions": [[0.1771, 0.4931, 0.8431], [0.8229, 0.5069, 0.1569], [0.5000, 0.8393, 0.8214], [0.3143, 0.3694, 0.5000], [0.5000, 0.1607, 0.1786], [0.8229, 0.1638, 0.8431], [0.0000, 0.0000, 0.5000], [0.1771, 0.8362, 0.1569], [0.6857, 0.6306, 0.5000]]}